[1]
Pr5Nd5Sc: optimized geometry, PBE.

a = 6.1400 Å, b = 10.0963 Å, c = 7.0661 Å
α = 109.92°, β = 90.00°, γ = 107.70°
With the nearest neighbours (Å) after each atom.
Sites, in units of the cell vectors:
1 Pr 0.8280 0.6560 0.0716  6 Nd 3.35-3.65, 2 Pr 3.43-3.64, 1 Sc 3.52
2 Pr 0.8275 0.6550 0.5860  6 Nd 3.35-3.68, 2 Pr 3.43-3.64, 1 Sc 3.55
3 Pr 0.5000 0.0000 0.0000  2 Sc 3.07, 2 Nd 3.07
4 Pr 0.1725 0.3450 0.4140  6 Nd 3.35-3.68, 2 Pr 3.43-3.64, 1 Sc 3.55
5 Pr 0.1720 0.3440 0.9284  6 Nd 3.35-3.65, 2 Pr 3.43-3.64, 1 Sc 3.52
6 Nd 0.6711 0.3422 0.1748  3 Pr 3.07-3.35
7 Nd 0.6263 0.2527 0.6303  4 Nd 3.62-3.82, 6 Pr 3.65-4.01
8 Nd 0.0000 0.0000 0.5000  2 Sc 3.53, 4 Pr 3.58-3.60, 4 Nd 3.82
9 Nd 0.3737 0.7473 0.3697  4 Nd 3.62-3.82, 6 Pr 3.65-4.01
10 Nd 0.3289 0.6578 0.8252  3 Pr 3.07-3.35
11 Sc 0.0000 0.0000 0.0000  2 Pr 3.07

Summary:
As for the space group: C2/m (12). The calculation puts the volume at 35.43 Å³/atom. Its energy is -4.683 eV per atom.

=====

[2]
Mo3Pd3Pt: optimized geometry, PBE.

a = 5.5190 Å, b = 5.5190 Å, c = 9.4954 Å
α = 73.11°, β = 73.11°, γ = 60.00°
With the nearest neighbours (Å) after each atom.
Sites, in units of the cell vectors:
1 Mo 0.2049 0.7306 0.8595  4 Mo 2.62-2.90, 2 Pd 2.67, 3 Pt 2.74-2.78
2 Mo 0.7306 0.2050 0.8595  4 Mo 2.62-2.90, 2 Pd 2.67, 3 Pt 2.74-2.78
3 Mo 0.2050 0.2049 0.8595  4 Mo 2.62-2.90, 2 Pd 2.67, 3 Pt 2.74-2.78
4 Mo 0.7950 0.7951 0.1405  4 Mo 2.62-2.90, 2 Pd 2.67, 3 Pt 2.74-2.78
5 Mo 0.2694 0.7950 0.1405  4 Mo 2.62-2.90, 2 Pd 2.67, 3 Pt 2.74-2.78
6 Mo 0.7951 0.2694 0.1405  4 Mo 2.62-2.90, 2 Pd 2.67, 3 Pt 2.74-2.78
7 Pd 0.3725 0.3724 0.3755  2 Mo 2.67, 6 Pd 2.72-2.80, 1 Pt 2.90
8 Pd 0.8797 0.3725 0.3755  2 Mo 2.67, 6 Pd 2.72-2.80, 1 Pt 2.90
9 Pd 0.3724 0.8797 0.3755  2 Mo 2.67, 6 Pd 2.72-2.80, 1 Pt 2.90
10 Pd 0.6276 0.1203 0.6245  2 Mo 2.67, 6 Pd 2.72-2.80, 1 Pt 2.90
11 Pd 0.1203 0.6275 0.6245  2 Mo 2.67, 6 Pd 2.72-2.80, 1 Pt 2.90
12 Pd 0.6275 0.6276 0.6245  2 Mo 2.67, 6 Pd 2.72-2.80, 1 Pt 2.90
13 Pt 0.7008 0.7008 0.8977  9 Mo 2.74-2.78, 3 Pd 2.90
14 Pt 0.2992 0.2992 0.1023  9 Mo 2.74-2.78, 3 Pd 2.90

Summary:
As for the space group: R-3m (166). The calculation puts the volume at 16.85 Å³/atom. Its energy is -7.603 eV per atom.